This record from the Alexandria database describes a geometry-optimized Sr3Ac2Ir2 structure. The functional is PBE.

```
Sr3Ac2Ir2
1.0
4.184 0.001 -0.944
-2.659 6.409 -2.031
-0.079 -0.334 9.376
Sr Ac Ir
3 2 2
Cartesian
2.092 0.001 -0.472
-1.411 5.183 3.503
2.857 0.893 2.898
1.385 2.761 6.127
0.060 3.315 0.274
-2.170 5.144 0.134
3.615 0.932 6.268
```

Output
- DFT formation energy: -0.36 eV per atom
- Spin magnetization: 0.000 μB per formula unit
- Volume: 247.26 Å³/f.u.
- DOS at the Fermi energy: 0.45 states/eV per atom